Entry 1:
A plane-wave DFT calculation with SCAN was carried out for Re2GeHI at its PBEsol-relaxed geometry.

Properties
- SG = P4/mmm, No. 123
- total magnetic moment (μB/cell) = 7.9
- VASP energy (eV per atom) = -37.863

extended XYZ file:
```
5
Lattice="4.743 0.000 0.000 0.000 4.743 0.000 0.000 0.000 5.922" Properties=species:S:1:pos:R:3 pbc="T T T"
Re 0.000 2.371 0.000
Re 2.371 0.000 0.000
Ge 0.000 0.000 0.000
H 2.371 2.371 2.961
I 0.000 0.000 2.961
```


Entry 2:
A plane-wave DFT calculation with SCAN was carried out for Tl2ReSi at its PBEsol-relaxed geometry.

Properties
- polymorph energy (0 for the lowest one) (meV/atom) = 871
- SG = I4/mmm, No. 139
- formation energy (no corrections) (eV/atom) = 1.2640
- total magnetic moment (μB/cell) = 0.5
- VASP energy (eV per atom) = -55.193

extended XYZ file:
```
4
Lattice="4.146 0.000 0.000 0.000 4.146 0.000 -2.073 -2.073 4.350" Properties=species:S:1:pos:R:3 pbc="T T T"
Re 2.073 2.073 0.000
Si 0.000 0.000 0.000
Tl 2.073 0.000 2.175
Tl 0.000 2.073 2.175
```